18
Lattice="5.074 0.000 0.000 -2.537 4.394 0.000 0.000 0.000 8.743" Properties=species:S:1:pos:R:3 comment="ZnCuIrO6 PBE-GGA relaxed" mass_density_g_cm3=7.11 volume_a3_per_atom=10.8 magmom_total_mub_per_fu=0.81 spacegroup=P-31c e_form_raw_mev_per_atom=-578 pbc="T T T"
Zn 0.000 0.000 0.000
Zn 0.000 0.000 4.372
Cu 0.000 2.930 2.186
Cu 2.537 1.465 6.557
Ir 0.000 2.930 6.557
Ir 2.537 1.465 2.186
O -0.870 1.571 5.511
O -1.612 2.855 7.604
O 0.870 1.571 7.604
O -0.742 4.363 5.511
O 1.795 0.032 1.139
O 0.925 1.539 3.233
O 1.612 2.855 5.511
O 0.742 4.363 7.604
O 3.279 0.032 3.233
O 1.667 2.824 1.139
O 4.149 1.539 1.139
O 3.407 2.824 3.233